# 1
A plane-wave DFT calculation with PBE-GGA was carried out for a geometry-optimized CeTm2PaC4 structure.

Properties
Its density of states at the Fermi level is 9.48 states/eV/cell. The value obtained for the raw total energy is -7.912 eV per atom. For the formation energy, the calculation gives -253 meV/atom. The calculation puts the volume at 16.293 A^3/atom.

Cell: 6.068 3.647 6.180 Å, 90.00 107.65 90.00°
Space group P2/m (No. 10)
Inequivalent atoms, fractional coordinates:
Ce 0.000 0.000 0.000 (multiplicity 1)
Tm 0.500 0.000 0.500 (multiplicity 1)
Tm 0.500 0.500 0.000 (multiplicity 1)
Pa 0.000 0.500 0.500 (multiplicity 1)
C 0.237 0.000 0.745 (multiplicity 2)
C 0.239 0.500 0.264 (multiplicity 2)



# 2
A plane-wave DFT calculation with PBE-GGA was carried out for a geometry-optimized CePaWC3 structure.

Properties
Its density of states at the Fermi level is 12.08 states/eV/cell. The value obtained for the raw total energy is -9.333 eV per atom. For the formation energy, the calculation gives 9 meV/atom. The calculation puts the volume at 17.856 A^3/atom.

Cell: 7.328 3.652 8.038 Å, 90.00 95.17 90.00°
Space group P2_1/m (No. 11)
Inequivalent atoms, fractional coordinates:
Ce 0.157 0.250 0.159 (multiplicity 2)
Pa 0.371 0.750 0.833 (multiplicity 2)
W 0.100 0.250 0.599 (multiplicity 2)
C 0.125 0.250 0.851 (multiplicity 2)
C 0.172 0.750 0.517 (multiplicity 2)
C 0.403 0.750 0.120 (multiplicity 2)



# 3
A plane-wave DFT calculation with PBE-GGA was carried out for a geometry-optimized CePa2WC4 structure.

Properties
Its density of states at the Fermi level is 39.43 states/eV/cell. The value obtained for the raw total energy is -9.475 eV per atom. For the formation energy, the calculation gives -128 meV/atom. The calculation puts the volume at 16.489 A^3/atom.

Cell: 3.501 12.086 12.471 Å, 90.00 90.00 90.00°
Space group Cmcm (No. 63)
Inequivalent atoms, fractional coordinates:
Ce 0.000 0.099 0.250 (multiplicity 4)
Pa 0.000 0.369 0.042 (multiplicity 8)
W 0.000 0.164 0.750 (multiplicity 4)
C 0.000 0.000 0.000 (multiplicity 4)
C 0.000 0.264 0.624 (multiplicity 8)
C 0.000 0.433 0.250 (multiplicity 4)



# 4
A plane-wave DFT calculation with PBE-GGA was carried out for a geometry-optimized Ce3PbC structure.

Properties
Its density of states at the Fermi level is 26.26 states/eV/cell. The value obtained for the raw total energy is -4.344 eV per atom. For the formation energy, the calculation gives 1802 meV/atom. The calculation puts the volume at 42.189 A^3/atom.

Cell: 5.953 5.953 5.953 Å, 90.00 90.00 90.00°
Space group Pm-3m (No. 221)
Inequivalent atoms, fractional coordinates:
Ce 0.000 0.000 0.500 (multiplicity 3)
Pb 0.000 0.000 0.000 (multiplicity 1)
C 0.500 0.500 0.500 (multiplicity 1)



# 5
A plane-wave DFT calculation with PBE-GGA was carried out for a geometry-optimized Ce7PbC2 structure.

Properties
Its density of states at the Fermi level is 52.71 states/eV/cell. The value obtained for the raw total energy is -6.350 eV per atom. For the formation energy, the calculation gives 19 meV/atom. The calculation puts the volume at 25.365 A^3/atom.

Cell: 7.851 12.947 4.991 Å, 90.00 90.00 90.00°
Space group Cmmm (No. 65)
Inequivalent atoms, fractional coordinates:
Ce 0.000 0.000 0.000 (multiplicity 2)
Ce 0.000 0.192 0.500 (multiplicity 4)
Ce 0.190 0.361 0.000 (multiplicity 8)
Pb 0.000 0.500 0.500 (multiplicity 2)
C 0.000 0.204 0.000 (multiplicity 4)



# 6
A plane-wave DFT calculation with PBE-GGA was carried out for a geometry-optimized Ce3PbC structure.

Properties
Its density of states at the Fermi level is 9.47 states/eV/cell. The value obtained for the raw total energy is -6.546 eV per atom. For the formation energy, the calculation gives -400 meV/atom. The calculation puts the volume at 24.999 A^3/atom.

Cell: 5.000 5.000 5.000 Å, 90.00 90.00 90.00°
Space group Pm-3m (No. 221)
Inequivalent atoms, fractional coordinates:
Ce 0.000 0.000 0.500 (multiplicity 3)
Pb 0.500 0.500 0.500 (multiplicity 1)
C 0.000 0.000 0.000 (multiplicity 1)



# 7
A plane-wave DFT calculation with PBE-GGA was carried out for a geometry-optimized Ce2PbC structure.

Properties
Its density of states at the Fermi level is 17.60 states/eV/cell. The value obtained for the raw total energy is -6.517 eV per atom. For the formation energy, the calculation gives -317 meV/atom. The calculation puts the volume at 23.915 A^3/atom.

Cell: 3.6053 3.6053 25.4942 Å, 90.00 90.00 120.00°
Space group R-3m (No. 166, hexagonal axes)
Inequivalent atoms, fractional coordinates:
Ce 0.0000 0.0000 0.2226 (multiplicity 6)
Pb 0.0000 0.0000 0.0000 (multiplicity 3)
C 0.0000 0.0000 0.5000 (multiplicity 3)



# 8
A plane-wave DFT calculation with PBE-GGA was carried out for a geometry-optimized Ce8PbC2 structure.

Properties
Its density of states at the Fermi level is 53.82 states/eV/cell. The value obtained for the raw total energy is -6.357 eV per atom. For the formation energy, the calculation gives -28 meV/atom. The calculation puts the volume at 23.092 A^3/atom.

Cell: 8.038 12.352 5.209 Å, 90.00 100.80 90.00°
Space group C2/m (No. 12)
Inequivalent atoms, fractional coordinates:
Ce 0.000 0.226 0.000 (multiplicity 4)
Ce 0.085 0.000 0.780 (multiplicity 4)
Ce 0.182 0.362 0.540 (multiplicity 8)
Pb 0.000 0.500 0.000 (multiplicity 2)
C 0.000 0.179 0.500 (multiplicity 4)



# 9
A plane-wave DFT calculation with PBE-GGA was carried out for a geometry-optimized Ce6Pb3C structure.

Properties
Its density of states at the Fermi level is 57.48 states/eV/cell. The value obtained for the raw total energy is -5.809 eV per atom. For the formation energy, the calculation gives -214 meV/atom. The calculation puts the volume at 28.148 A^3/atom.

Cell: 11.129 6.561 8.125 Å, 90.00 108.38 90.00°
Space group C2/m (No. 12)
Inequivalent atoms, fractional coordinates:
Ce 0.114 0.231 0.394 (multiplicity 8)
Ce 0.141 0.500 0.819 (multiplicity 4)
Pb 0.000 0.000 0.000 (multiplicity 2)
Pb 0.187 0.000 0.765 (multiplicity 4)
C 0.000 0.500 0.500 (multiplicity 2)



# 10
A plane-wave DFT calculation with PBE-GGA was carried out for a geometry-optimized Ce4PbC2 structure.

Properties
Its density of states at the Fermi level is 94.50 states/eV/cell. The value obtained for the raw total energy is -6.681 eV per atom. For the formation energy, the calculation gives -125 meV/atom. The calculation puts the volume at 24.425 A^3/atom.

Cell: 9.010 12.280 12.362 Å, 90.00 90.00 90.00°
Space group Fddd (No. 70, origin choice 2)
Inequivalent atoms, fractional coordinates:
Ce 0.029 0.297 0.453 (multiplicity 32)
Pb 0.125 0.125 0.625 (multiplicity 8)
C 0.000 0.000 0.000 (multiplicity 16)



# 11
A plane-wave DFT calculation with PBE-GGA was carried out for a geometry-optimized Ce4Pb5C structure.

Properties
Its density of states at the Fermi level is 40.86 states/eV/cell. The value obtained for the raw total energy is -5.340 eV per atom. For the formation energy, the calculation gives -190 meV/atom. The calculation puts the volume at 28.591 A^3/atom.

Cell: 19.529 3.571 8.285 Å, 90.00 98.17 90.00°
Space group C2/m (No. 12)
Inequivalent atoms, fractional coordinates:
Ce 0.051 0.000 0.189 (multiplicity 4)
Ce 0.108 0.500 0.860 (multiplicity 4)
Pb 0.000 0.500 0.500 (multiplicity 2)
Pb 0.165 0.000 0.545 (multiplicity 4)
Pb 0.220 0.000 0.162 (multiplicity 4)
C 0.000 0.500 0.000 (multiplicity 2)



# 12
A plane-wave DFT calculation with PBE-GGA was carried out for a geometry-optimized Ce5Pb2C structure.

Properties
Its density of states at the Fermi level is 87.28 states/eV/cell. The value obtained for the raw total energy is -5.666 eV per atom. For the formation energy, the calculation gives 123 meV/atom. The calculation puts the volume at 32.223 A^3/atom.

Cell: 4.922 17.721 11.821 Å, 90.00 90.00 90.00°
Space group Cmcm (No. 63)
Inequivalent atoms, fractional coordinates:
Ce 0.000 0.074 0.136 (multiplicity 8)
Ce 0.000 0.272 0.057 (multiplicity 8)
Ce 0.000 0.290 0.750 (multiplicity 4)
Pb 0.000 0.115 0.623 (multiplicity 8)
C 0.000 0.184 0.250 (multiplicity 4)



- Which value of raw total energy does entry 2 give?
  -9.333 eV per atom